Entry P
A plane-wave DFT calculation with PBE was carried out for a relaxed structure of Mg6Si5.

Output
- SG: P1
- Spin magnetization: 0.0 μB per formula unit

Unit cell a=5.6872 b=6.3283 c=12.4284 alpha=99.27 beta=101.82 gamma=92.08
Fractional positions:
Si 0.9898 0.2285 0.1504
Si 0.6372 0.6365 0.2817
Si 0.7540 0.6755 0.7971
Si 0.3435 0.0520 0.2230
Si 0.0111 0.4480 0.6904
Si 0.0082 0.6978 0.4190
Si 0.0301 0.1326 0.7802
Si 0.7445 0.2599 0.2924
Si 0.6961 0.9127 0.6523
Si 0.7554 0.5778 0.5319
Mg 0.5312 0.0504 0.8646
Mg 0.3288 0.3944 0.3906
Mg 0.6319 0.8527 0.0947
Mg 0.9113 0.4209 0.9616
Mg 0.4332 0.9176 0.4315
Mg 0.0844 0.9209 0.9817
Mg 0.4815 0.3100 0.6467
Mg 0.9594 0.1421 0.4926
Mg 0.3710 0.5541 0.8750
Mg 0.1064 0.6662 0.2058
Mg 0.4643 0.3453 0.0848
Mg 0.2197 0.8042 0.6484


Entry Q
A plane-wave DFT calculation with PBE was carried out for a relaxed structure of Mg6Si5.

Output
- SG: P1
- Spin magnetization: 0.0 μB per formula unit

Unit cell a=5.3009 b=6.9063 c=11.6046 alpha=87.02 beta=89.63 gamma=82.07
Fractional positions:
Si 0.8718 0.9739 0.7613
Si 0.0715 0.2864 0.7617
Si 0.3785 0.2587 0.9364
Si 0.8327 0.8766 0.3744
Si 0.1284 0.4048 0.0919
Si 0.9867 0.1377 0.2193
Si 0.2750 0.3125 0.5761
Si 0.6371 0.2899 0.3319
Si 0.5374 0.6534 0.3191
Si 0.4813 0.6131 0.5332
Mg 0.5810 0.4779 0.7678
Mg 0.9616 0.6924 0.5966
Mg 0.7901 0.1933 0.5511
Mg 0.9150 0.1183 0.9768
Mg 0.6132 0.5054 0.0959
Mg 0.5082 0.0364 0.1675
Mg 0.3090 0.0053 0.4186
Mg 0.0946 0.7683 0.1606
Mg 0.5048 0.8634 0.9296
Mg 0.0548 0.6346 0.8883
Mg 0.3881 0.9296 0.6793
Mg 0.0826 0.4646 0.3588


Q: What are the energies relative to the best structure? A: entry P 0.036; entry Q 0.000, in eV/atom.


Entry P
A plane-wave DFT calculation with PBE was carried out for a relaxed structure of Mg6Si5.

Output
- SG: P1
- Spin magnetization: 0.0 μB per formula unit

Unit cell a=4.2241 b=6.9364 c=14.2891 alpha=87.66 beta=88.35 gamma=89.33
Fractional positions:
Mg 0.5516 0.4748 0.2924
Mg 0.0979 0.2098 0.7317
Mg 0.6029 0.4961 0.7976
Mg 0.0795 0.0454 0.0497
Mg 0.5807 0.3822 0.0457
Mg 0.0942 0.6853 0.9282
Mg 0.5936 0.0468 0.8831
Mg 0.0680 0.6517 0.1487
Mg 0.0228 0.5095 0.4916
Mg 0.5412 0.8296 0.4311
Mg 0.5612 0.9930 0.2159
Mg 0.0656 0.0078 0.5546
Si 0.0960 0.3064 0.9098
Si 0.0505 0.7713 0.3230
Si 0.5965 0.2896 0.6161
Si 0.5805 0.7901 0.0410
Si 0.6087 0.9510 0.6946
Si 0.0592 0.2768 0.1938
Si 0.5426 0.2250 0.4457
Si 0.1073 0.7730 0.7407
Si 0.0436 0.1246 0.3525
Si 0.4523 0.6639 0.6092


Entry Q
A plane-wave DFT calculation with PBE was carried out for a relaxed structure of Mg6Si5.

Output
- SG: P1
- Spin magnetization: 0.0 μB per formula unit

Unit cell a=5.4154 b=6.1808 c=13.4635 alpha=101.63 beta=94.15 gamma=98.59
Fractional positions:
Mg 0.8124 0.0000 0.9506
Mg 0.4052 0.7915 0.4855
Mg 0.5283 0.8720 0.2570
Mg 0.6195 0.9033 0.7223
Mg 0.7902 0.4684 0.8423
Mg 0.2855 0.7359 0.9957
Mg 0.8329 0.5296 0.0811
Mg 0.4679 0.3287 0.6092
Mg 0.8921 0.2489 0.4675
Mg 0.6768 0.4186 0.2954
Mg 0.0405 0.0720 0.1771
Mg 0.3483 0.2374 0.9230
Si 0.8681 0.7047 0.4966
Si 0.1092 0.8507 0.8056
Si 0.3364 0.4535 0.1303
Si 0.1865 0.4888 0.3078
Si 0.1300 0.9389 0.6427
Si 0.9576 0.2729 0.6680
Si 0.5444 0.1203 0.1074
Si 0.0151 0.8551 0.3446
Si 0.2954 0.5212 0.7869
Si 0.3505 0.1875 0.4000


Q: What are the energies relative to the best structure? A: entry P 0.000; entry Q 0.030, in eV/atom.